An optimized crystal structure of LiCdAu, computed with PBEsol.

Computed properties:
ΔE_f: -8.5 kcal/mol of atoms
DOS(E_F): 1.0 states/eV per cell
Total magnetic moment: 0.000 μB per formula unit
Relative energy among the computed polymorphs: 0.03 eV per formula unit

Unit cell a=4.5094 b=4.5094 c=2.8353 alpha=90.00 beta=90.00 gamma=120.00
Space group P3m1 (No. 156)
Asymmetric unit:
Li 0.0000 0.0000 0.0000 (multiplicity 1)
Cd 0.6667 0.3333 0.6474 (multiplicity 1)
Au 0.3333 0.6667 0.2159 (multiplicity 1)

***

An optimized crystal structure of LaSnIrAu2, computed with PBEsol.

Computed properties:
ΔE_f: 21.9 kcal/mol of atoms
DOS(E_F): 2.5 states/eV per cell
Total magnetic moment: 0.000 μB per formula unit

Unit cell a=5.439 b=5.439 c=4.944 alpha=90.00 beta=90.00 gamma=90.00
Space group P4/mmm (No. 123)
Asymmetric unit:
La 0.000 0.000 0.000 (multiplicity 1)
Sn 0.500 0.500 0.500 (multiplicity 1)
Ir 0.000 0.000 0.500 (multiplicity 1)
Au 0.000 0.500 0.000 (multiplicity 2)

***

An optimized crystal structure of Mg2ReSb, computed with PBEsol.

Computed properties:
DOS(E_F): 2.4 states/eV per cell
Total magnetic moment: 0.000 μB per formula unit
ΔE_f (raw): 0.279 eV/atom

Unit cell a=3.588 b=4.603 c=8.743 alpha=90.00 beta=90.00 gamma=90.00
Space group Imm2 (No. 44)
Asymmetric unit:
Mg 0.000 0.000 0.000 (multiplicity 2)
Mg 0.000 0.500 0.245 (multiplicity 2)
Re 0.000 0.500 0.753 (multiplicity 2)
Sb 0.000 0.000 0.484 (multiplicity 2)

***

An optimized crystal structure of TaBe2Tc, computed with PBEsol.

Computed properties:
ΔE_f: -8.2 kcal/mol of atoms
DOS(E_F): 0.4 states/eV per cell
Total magnetic moment: 0.000 μB per formula unit
Relative energy among the computed polymorphs: 0.00 eV per formula unit

Unit cell a=3.269 b=3.163 c=8.910 alpha=90.00 beta=90.00 gamma=90.00
Space group Amm2 (No. 38)
Asymmetric unit:
Ta 0.000 0.000 0.000 (multiplicity 2)
Be 0.000 0.000 0.728 (multiplicity 2)
Be 0.500 0.000 0.597 (multiplicity 2)
Tc 0.500 0.000 0.311 (multiplicity 2)

***

An optimized crystal structure of TiPdBr2, computed with PBEsol.

Computed properties:
DOS(E_F): 7.2 states/eV per cell
Total magnetic moment: 0.004 μB per formula unit
ΔE_f (raw): 0.047 eV/atom
Relative energy among the computed polymorphs: 0.86 eV per formula unit

Unit cell a=3.4275 b=3.4275 c=25.3634 alpha=90.00 beta=90.00 gamma=120.00
Space group R-3m (No. 166, hexagonal axes)
Asymmetric unit:
Ti 0.0000 0.0000 0.0000 (multiplicity 3)
Pd 0.0000 0.0000 0.5000 (multiplicity 3)
Br 0.0000 0.0000 0.0936 (multiplicity 6)

***

An optimized crystal structure of Bi2PCl, computed with PBEsol.

Computed properties:
DOS(E_F): 2.9 states/eV per cell
Total magnetic moment: 0.000 μB per formula unit
ΔE_f (raw): -0.091 eV/atom
Relative energy among the computed polymorphs: 0.00 eV per formula unit

Unit cell a=7.808 b=7.808 c=6.871 alpha=90.00 beta=90.00 gamma=90.00
Space group I-42d (No. 122)
Asymmetric unit:
Bi 0.217 0.250 0.125 (multiplicity 8)
P 0.000 0.000 0.000 (multiplicity 4)
Cl 0.000 0.000 0.500 (multiplicity 4)

***

An optimized crystal structure of MgSiBr2, computed with PBEsol.

Computed properties:
DOS(E_F): 2.8 states/eV per cell
Total magnetic moment: 0.000 μB per formula unit
ΔE_f (raw): -0.173 eV/atom
Relative energy among the computed polymorphs: 0.59 eV per formula unit

Unit cell a=3.360 b=6.149 c=9.151 alpha=90.00 beta=90.00 gamma=90.00
Space group Immm (No. 71)
Asymmetric unit:
Mg 0.000 0.000 0.000 (multiplicity 2)
Si 0.000 0.000 0.500 (multiplicity 2)
Br 0.000 0.500 0.284 (multiplicity 4)

***

An optimized crystal structure of Zr2BeIr, computed with PBEsol.

Computed properties:
ΔE_f: -11.9 kcal/mol of atoms
DOS(E_F): 6.6 states/eV per cell
Total magnetic moment: 0.000 μB per formula unit

Unit cell a=3.986 b=3.444 c=9.990 alpha=90.00 beta=90.00 gamma=90.00
Space group Amm2 (No. 38)
Asymmetric unit:
Zr 0.000 0.000 0.000 (multiplicity 2)
Zr 0.500 0.000 0.285 (multiplicity 2)
Be 0.500 0.000 0.569 (multiplicity 2)
Ir 0.000 0.000 0.714 (multiplicity 2)

***

An optimized crystal structure of TaAl2Tc, computed with PBEsol.

Computed properties:
ΔE_f: -5.7 kcal/mol of atoms
DOS(E_F): 3.3 states/eV per cell
Total magnetic moment: 0.000 μB per formula unit
Relative energy among the computed polymorphs: 0.47 eV per formula unit

Unit cell a=3.150 b=4.439 c=8.705 alpha=90.00 beta=90.00 gamma=90.00
Space group Immm (No. 71)
Asymmetric unit:
Ta 0.000 0.000 0.000 (multiplicity 2)
Al 0.000 0.500 0.239 (multiplicity 4)
Tc 0.000 0.000 0.500 (multiplicity 2)

***

An optimized crystal structure of KTa2Os, computed with PBEsol.

Computed properties:
ΔE_f: 15.1 kcal/mol of atoms
DOS(E_F): 2.7 states/eV per cell
Total magnetic moment: 0.000 μB per formula unit
Relative energy among the computed polymorphs: 0.00 eV per formula unit

Unit cell a=2.918 b=3.918 c=8.389 alpha=90.00 beta=98.23 gamma=90.00
Space group P2/m (No. 10)
Asymmetric unit:
K 0.000 0.000 0.000 (multiplicity 1)
Ta 0.477 0.500 0.648 (multiplicity 2)
Os 0.000 0.000 0.500 (multiplicity 1)

***

An optimized crystal structure of Rb6UMo4O18, computed with PBEsol.

Computed properties:
DOS(E_F): 0.0 states/eV per cell
Total magnetic moment: 0.000 μB per formula unit
ΔE_f (raw): -2.244 eV/atom

Unit cell a=17.219 b=11.458 c=13.953 alpha=90.00 beta=127.82 gamma=90.00
Space group C2/c (No. 15)
Asymmetric unit:
Rb 0.000 0.008 0.250 (multiplicity 4)
Rb 0.000 0.320 0.750 (multiplicity 4)
Rb 0.141 0.326 0.336 (multiplicity 8)
Rb 0.211 0.135 0.166 (multiplicity 8)
U 0.000 0.500 0.000 (multiplicity 4)
Mo 0.064 0.187 0.545 (multiplicity 8)
Mo 0.238 0.440 0.072 (multiplicity 8)
O 0.005 0.461 0.375 (multiplicity 8)
O 0.011 0.194 0.391 (multiplicity 8)
O 0.017 0.117 0.938 (multiplicity 8)
O 0.081 0.339 0.600 (multiplicity 8)
O 0.142 0.404 0.088 (multiplicity 8)
O 0.166 0.161 0.848 (multiplicity 8)
O 0.178 0.117 0.625 (multiplicity 8)
O 0.188 0.435 0.920 (multiplicity 8)
O 0.215 0.081 0.374 (multiplicity 8)

***

An optimized crystal structure of HgSb, computed with PBEsol.

Computed properties:
DOS(E_F): 2.2 states/eV per cell
Total magnetic moment: 0.000 μB per formula unit
ΔE_f (raw): 0.241 eV/atom
Relative energy among the computed polymorphs: 0.43 eV per formula unit

Unit cell a=4.2497 b=4.2497 c=8.1373 alpha=90.00 beta=90.00 gamma=120.00
Space group P6_3mc (No. 186)
Asymmetric unit:
Hg 0.3333 0.6667 0.0000 (multiplicity 2)
Sb 0.3333 0.6667 0.6649 (multiplicity 2)